[1]
Computed, not measured: crystalline Mg3WC at its relaxed geometry at the PBEsol level of DFT.

Results
DFT formation energy: 1327.7 kJ/mol of formula units
raw total energy: -2.97 eV/atom
density: 3.1 g cm⁻³

Cell and atoms, written as POSCAR:
```
Mg3WC
1.0
-3.213 4.111 -0.378
-4.035 -3.025 1.393
0.876 1.147 5.028
Mg C W
3 1 1
Direct
0.000 0.500 0.000
0.000 0.000 0.500
0.500 0.000 0.000
0.500 0.500 0.500
0.000 0.000 0.000
```


[2]
Computed, not measured: crystalline Y3MgC at its relaxed geometry at the PBEsol level of DFT.

Results
DFT formation energy: -113.0 kJ/mol of formula units
raw total energy: -6.60 eV/atom
density: 4.2 g cm⁻³

Cell and atoms, written as POSCAR:
```
Y3MgC
1.0
4.929 0.000 0.000
0.000 4.929 0.000
0.000 0.000 4.929
Y Mg C
3 1 1
Direct
0.000 0.500 0.000
0.000 0.000 0.500
0.500 0.000 0.000
0.500 0.500 0.500
0.000 0.000 0.000
```